A relaxed structure of CaNiN2F, computed with PBE+U.

a b c (Å): 3.5680 3.5680 4.8184
angles (deg): 90.00 90.00 90.00
Closest atoms and distances in Å follow each position.
Atoms (fractional coordinates):
Ca  0.0000  0.0000  0.0000  4 F 2.52
Ni  0.5000  0.5000  0.5000  4 N 1.78
N  0.0000  0.5000  0.5000  2 Ni 1.78
N  0.5000  0.0000  0.5000  2 Ni 1.78
F  0.5000  0.5000  0.0000  2 Ni 2.41, 4 Ca 2.52

Summary:
SG: P4/mmm, No. 123
Relative energy among the computed polymorphs: 0.0000 eV per atom